Entry 1:
Density functional theory data (PBE-GGA) for Ca3Ce3MnN8 after structural relaxation.

abc: 6.8383 6.8383 16.9225
angles: 90.00 90.00 120.00
Space group R-3m (No. 166, hexagonal axes)
Asymmetric unit:
Ca 0.0000 0.5000 0.0000 (multiplicity 9)
Ce 0.0000 0.5000 0.5000 (multiplicity 9)
Mn 0.0000 0.0000 0.5000 (multiplicity 3)
N 0.0000 0.0000 0.2435 (multiplicity 6)
N 0.0403 0.5202 0.2319 (multiplicity 18)


Entry 2:
Density functional theory data (PBE-GGA) for CaCe2MnN4 after structural relaxation.

abc: 3.522 11.738 11.874
angles: 90.00 90.00 90.00
Space group Cmcm (No. 63)
Asymmetric unit:
Ca 0.000 0.104 0.250 (multiplicity 4)
Ce 0.000 0.369 0.049 (multiplicity 8)
Mn 0.000 0.166 0.750 (multiplicity 4)
N 0.000 0.000 0.000 (multiplicity 4)
N 0.000 0.261 0.620 (multiplicity 8)
N 0.000 0.419 0.250 (multiplicity 4)


For each record above, in turn, the calculated ΔE_f (raw) values are -13.11, -8.25 eV per formula unit.
For each record above, in turn, the calculated Fermi-level density of states values are 21.5, 14.3 states/eV/cell.